! Mg2AsRu, optimized geometry, DFT GGA-PBE; values from VASP
&SYSTEM
  ibrav = 0, nat = 4, ntyp = 3
/
ATOMIC_SPECIES
Mg 24.30 Mg.upf
Ru 101.07 Ru.upf
As 74.92 As.upf
ATOMIC_POSITIONS crystal
Mg 0.0000 0.0000 0.4774
Mg 0.0000 0.0000 0.0226
Ru 0.5000 0.5000 0.2500
As 0.5000 0.5000 0.7500
CELL_PARAMETERS angstrom
-1.0412 2.5386 1.0971
-0.4757 -1.3192 2.6010
7.4337 2.0189 2.3834
! Size of the total moment in μB/atom: 0.2848
! Final energy in eV/f.u.: -17.219
! Formation energy in meV/atom: -26